[1]
Here is an optimized crystal structure of MnSnMoP from Alexandria. Energies are from GGA-PBE.

Structure (POSCAR):
```
MnSnMoP
1.0
3.160 0.000 0.000
0.000 3.160 0.000
0.000 0.000 13.814
Sn Mn Mo P
2 2 2 2
direct
0.500 0.500 0.950
0.000 0.000 0.450
0.000 0.000 0.836
0.500 0.500 0.336
0.000 0.000 0.220
0.500 0.500 0.720
0.500 0.500 0.142
0.000 0.000 0.642
```

Output
* total moment: 2.64 μB per formula unit
* space-group type: No. 107
* calculated total energy: -59.4 eV per cell
* polymorph energy (0 for the lowest one): 142 meV/atom
* formation energy: -0.069 eV per atom


[2]
Here is an optimized crystal structure of Cd2SbMo from Alexandria. Energies are from GGA-PBE.

Structure (POSCAR):
```
Cd2SbMo
1.0
-4.393 0.528 3.832
-3.629 -4.439 1.174
5.617 1.634 -0.179
Sb Cd Mo
1 2 1
direct
0.250 0.750 0.500
0.508 0.508 0.000
0.992 0.992 0.000
0.750 0.250 0.500
```

Output
* total moment: 0.37 μB per formula unit
* space-group type: No. 71
* calculated total energy: -15.3 eV per cell
* ΔE_f (raw): 0.383 eV per atom


[3]
Here is an optimized crystal structure of AcLa2In3 from Alexandria. Energies are from GGA-PBE.

Structure (POSCAR):
```
AcLa2In3
1.0
3.995 0.000 0.000
0.000 3.995 0.000
0.000 0.000 12.076
La In Ac
2 3 1
direct
0.500 0.500 0.162
0.500 0.500 0.838
0.000 0.000 0.322
0.000 0.000 0.000
0.000 0.000 0.678
0.500 0.500 0.500
```

Output
* total moment: 0.00 μB per formula unit
* space-group type: No. 123
* calculated total energy: -25.1 eV per cell
* formation energy: -0.482 eV per atom


Which value of calculated total energy does entry 3 give? -25.1 eV per cell


Among the records above, which one has the lowest total moment? AcLa2In3


Copy entry 1 word for word.
Here is an optimized crystal structure of MnSnMoP from Alexandria. Energies are from GGA-PBE.

Structure (POSCAR):
```
MnSnMoP
1.0
3.160 0.000 0.000
0.000 3.160 0.000
0.000 0.000 13.814
Sn Mn Mo P
2 2 2 2
direct
0.500 0.500 0.950
0.000 0.000 0.450
0.000 0.000 0.836
0.500 0.500 0.336
0.000 0.000 0.220
0.500 0.500 0.720
0.500 0.500 0.142
0.000 0.000 0.642
```

Output
* total moment: 2.64 μB per formula unit
* space-group type: No. 107
* calculated total energy: -59.4 eV per cell
* polymorph energy (0 for the lowest one): 142 meV/atom
* formation energy: -0.069 eV per atom